Entry 1:
# YHg2P

A relaxed structure of YHg2P (PBE, the Alexandria database).

a = 4.007 Å, b = 4.007 Å, c = 5.802 Å
α = 90.00°, β = 90.00°, γ = 90.00°
Positions (direct):
Y  0.000  0.000  0.000
Hg  0.500  0.500  0.260
Hg  0.500  0.500  0.740
P  0.000  0.000  0.500

DOS at the Fermi energy in states/eV/cell: 3.21
SG: No. 123
Energy of formation in meV per atom: -144

=====

Entry 2:
# Cs2LiPF6

A relaxed structure of Cs2LiPF6 (PBE, the Alexandria database).

a = 6.234 Å, b = 6.234 Å, c = 6.234 Å
α = 121.56°, β = 121.56°, γ = 87.33°
Positions (direct):
Cs  0.250  0.750  0.500
Cs  0.750  0.250  0.500
Li  0.000  0.000  0.000
P  0.500  0.500  0.000
F  0.263  0.263  0.525
F  0.263  0.737  0.000
F  0.280  0.280  0.000
F  0.720  0.720  0.000
F  0.737  0.263  0.000
F  0.737  0.737  0.475

DOS at the Fermi energy in states/eV/cell: 0.00
SG: No. 139
Formation energy (no corrections) in meV/atom: -2429

=====

Entry 3:
# Ac2Sb4PtAu3

A relaxed structure of Ac2Sb4PtAu3 (PBE, the Alexandria database).

a = 4.898 Å, b = 4.898 Å, c = 10.880 Å
α = 90.00°, β = 90.00°, γ = 90.00°
Positions (direct):
Ac  0.000  0.500  0.227
Ac  0.500  0.000  0.773
Sb  0.000  0.000  0.500
Sb  0.000  0.500  0.881
Sb  0.500  0.000  0.119
Sb  0.500  0.500  0.500
Pt  0.500  0.500  0.000
Au  0.000  0.000  0.000
Au  0.000  0.500  0.635
Au  0.500  0.000  0.365

DOS at the Fermi energy in states/eV/cell: 2.10
SG: No. 115
Formation energy (no corrections) in meV/atom: -645

=====

What did the third record say?
# Ac2Sb4PtAu3

A relaxed structure of Ac2Sb4PtAu3 (PBE, the Alexandria database).

a = 4.898 Å, b = 4.898 Å, c = 10.880 Å
α = 90.00°, β = 90.00°, γ = 90.00°
Positions (direct):
Ac  0.000  0.500  0.227
Ac  0.500  0.000  0.773
Sb  0.000  0.000  0.500
Sb  0.000  0.500  0.881
Sb  0.500  0.000  0.119
Sb  0.500  0.500  0.500
Pt  0.500  0.500  0.000
Au  0.000  0.000  0.000
Au  0.000  0.500  0.635
Au  0.500  0.000  0.365

DOS at the Fermi energy in states/eV/cell: 2.10
SG: No. 115
Formation energy (no corrections) in meV/atom: -645

=====

> DOS at the Fermi energy of number 1 (YHg2P)?

3.21 states/eV/cell

=====

> Number 2 is which compound?

Cs2LiPF6